No. 1
DFT (PBE) results for a geometry-optimized Ti2Ni3Pt structure.

a b c (Å): 7.6464 7.6464 7.6464
angles (deg): 115.01 115.01 98.88
Positions (direct):
Ti (0.2626, 0.3344, 0.5717)
Ti (0.2626, 0.6909, 0.9283)
Ti (0.3091, 0.7374, 0.5717)
Ti (0.3344, 0.2626, 0.0717)
Ti (0.6656, 0.7374, 0.9283)
Ti (0.6909, 0.2626, 0.4283)
Ti (0.7374, 0.3091, 0.0717)
Ti (0.7374, 0.6656, 0.4283)
Ni (0.0000, 0.5000, 0.5000)
Ni (0.1044, 0.3544, 0.2087)
Ni (0.1044, 0.8956, 0.7500)
Ni (0.3544, 0.1044, 0.7087)
Ni (0.3544, 0.6456, 0.2500)
Ni (0.5000, 0.0000, 0.0000)
Ni (0.5000, 0.5000, 0.0000)
Ni (0.5000, 0.5000, 0.5000)
Ni (0.6456, 0.3544, 0.7500)
Ni (0.6456, 0.8956, 0.2913)
Ni (0.8956, 0.1044, 0.2500)
Ni (0.8956, 0.6456, 0.7913)
Pt (0.0307, 0.2807, 0.7500)
Pt (0.2807, 0.0307, 0.2500)
Pt (0.7193, 0.9693, 0.7500)
Pt (0.9693, 0.7193, 0.2500)

calculated formation energy: -1.76 eV per formula unit
SG: No. 141

---

No. 2
DFT (PBE) results for a geometry-optimized CdFe structure.

a b c (Å): 5.9521 5.9521 5.9521
angles (deg): 98.13 98.13 135.81
Positions (direct):
Cd (0.0000, 0.2904, 0.2904)
Cd (0.0000, 0.7096, 0.7096)
Cd (0.2904, 0.0000, 0.2904)
Cd (0.7096, 0.0000, 0.7096)
Fe (0.3475, 0.3475, 0.6951)
Fe (0.3475, 0.6525, 0.0000)
Fe (0.6525, 0.3475, 0.0000)
Fe (0.6525, 0.6525, 0.3049)

calculated formation energy: 0.80 eV per formula unit
SG: No. 139

---

No. 3
DFT (PBE) results for a geometry-optimized Ti3NbRh structure.

a b c (Å): 5.2962 5.2962 10.0442
angles (deg): 90.86 90.86 35.75
Positions (direct):
Ti (0.0360, 0.0360, 0.3506)
Ti (0.2660, 0.2660, 0.7662)
Ti (0.4445, 0.4445, 0.1373)
Ti (0.5555, 0.5555, 0.8627)
Ti (0.7340, 0.7340, 0.2338)
Ti (0.9640, 0.9640, 0.6494)
Nb (0.3399, 0.3399, 0.4433)
Nb (0.6601, 0.6601, 0.5567)
Rh (0.1397, 0.1397, 0.0555)
Rh (0.8603, 0.8603, 0.9445)

calculated formation energy: -1.44 eV per formula unit
SG: No. 12

---

No. 4
DFT (PBE) results for a geometry-optimized PrSm3Ho8 structure.

a b c (Å): 8.6686 8.6686 8.6686
angles (deg): 136.56 98.19 97.55
Positions (direct):
Pr (0.0000, 0.0000, 0.0000)
Sm (0.2520, 0.7520, 0.5000)
Sm (0.5000, 0.5000, 0.0000)
Sm (0.7480, 0.2480, 0.5000)
Ho (0.0797, 0.2503, 0.8293)
Ho (0.2528, 0.2488, 0.5016)
Ho (0.2528, 0.7512, 0.0040)
Ho (0.4210, 0.2503, 0.1707)
Ho (0.5790, 0.7497, 0.8293)
Ho (0.7472, 0.2488, 0.9960)
Ho (0.7472, 0.7512, 0.4984)
Ho (0.9203, 0.7497, 0.1707)

calculated formation energy: 3.64 eV per formula unit
SG: No. 71

---

No. 5
DFT (PBE) results for a geometry-optimized PrThSc2 structure.

a b c (Å): 11.1212 11.1212 11.1212
angles (deg): 18.08 18.08 18.08
Positions (direct):
Pr (0.0000, 0.0000, 0.0000)
Th (0.5000, 0.5000, 0.5000)
Sc (0.2473, 0.2473, 0.2473)
Sc (0.7527, 0.7527, 0.7527)

calculated formation energy: 0.23 eV per formula unit
SG: No. 166

---

No. 6
DFT (PBE) results for a geometry-optimized BaCa2W structure.

a b c (Å): 5.6642 5.6642 5.6642
angles (deg): 60.00 60.00 60.00
Positions (direct):
Ba (0.0000, 0.0000, 0.0000)
Ca (0.2500, 0.2500, 0.2500)
Ca (0.7500, 0.7500, 0.7500)
W (0.5000, 0.5000, 0.5000)

calculated formation energy: 4.07 eV per formula unit
SG: No. 225

---

no.,spin magnetization (μB per atom),density (g/cm3)
1,0.000,9.24
2,1.152,8.21
3,0.000,6.85
4,0.000,7.63
5,0.000,6.64
6,0.613,5.19